! MnTlIF2 | Alexandria via LeMat-Bulk | PBE+U | optimized geometry; values from VASP
&SYSTEM
  ibrav = 0, nat = 5, ntyp = 4
/
ATOMIC_SPECIES
Mn 54.94 Mn.upf
F 19.00 F.upf
I 126.90 I.upf
Tl 204.38 Tl.upf
CELL_PARAMETERS angstrom
4.145 0.000 0.000
0.000 4.145 -0.015
0.000 0.008 7.330
ATOMIC_POSITIONS crystal
Mn 0.000 0.001 0.024
F 0.000 0.501 0.949
I 0.000 0.997 0.407
Tl 0.500 0.499 0.671
F 0.500 0.001 0.949
! * total magnetization: 1.00 μB/atom
! * uncorrected energy: -4.78 eV/atom
! * D(E_F): 0.0 states/eV/f.u.